Record 1
# Hg2SbICl GGA-PBE relaxed
# uncorrected energy = -1.83 eV/atom
data_Hg2SbICl
_cell_length_a 5.7291
_cell_length_b 5.7291
_cell_length_c 5.1650
_cell_angle_alpha 90.00
_cell_angle_beta 90.00
_cell_angle_gamma 90.00
_symmetry_space_group_name_H-M 'P 4/m m m'
_symmetry_Int_Tables_number 123
_symmetry_space_group_name_Hall '-P 4 2'
loop_
_atom_site_label
_atom_site_fract_x
_atom_site_fract_y
_atom_site_fract_z
Hg1 0.0000 0.5000 0.0000
Sb1 0.0000 0.0000 0.0000
I1 0.5000 0.5000 0.5000
Cl1 0.0000 0.0000 0.5000

=====

Record 2
# Be2CuNi2 GGA-PBE relaxed
# uncorrected energy = -4.80 eV/atom
# energy above the lowest structure with this stoichiometry = 85 meV per atom
data_Be2CuNi2
_cell_length_a 6.3800
_cell_length_b 6.3800
_cell_length_c 2.4543
_cell_angle_alpha 90.00
_cell_angle_beta 90.00
_cell_angle_gamma 90.00
_symmetry_space_group_name_H-M 'P 4/m b m'
_symmetry_Int_Tables_number 127
_symmetry_space_group_name_Hall '-P 4 2ab'
loop_
_atom_site_label
_atom_site_fract_x
_atom_site_fract_y
_atom_site_fract_z
Be1 0.1624 0.3376 0.0000
Cu1 0.0000 0.0000 0.5000
Ni1 0.1347 0.6347 0.5000

=====

Record 3
# Al2CdMo GGA-PBE relaxed
# uncorrected energy = -4.65 eV/atom
data_Al2CdMo
_cell_length_a 2.9313
_cell_length_b 2.9313
_cell_length_c 28.0117
_cell_angle_alpha 90.00
_cell_angle_beta 90.00
_cell_angle_gamma 120.00
_symmetry_space_group_name_H-M 'R 3 m'
_symmetry_Int_Tables_number 160
_symmetry_space_group_name_Hall 'R 3 -2"'
loop_
_atom_site_label
_atom_site_fract_x
_atom_site_fract_y
_atom_site_fract_z
Al1 0.0000 0.0000 0.0000
Al2 0.0000 0.0000 0.2521
Cd1 0.0000 0.0000 0.7552
Mo1 0.0000 0.0000 0.5099